Entry 1:
Density functional theory data (PBE) for a relaxed structure of AlCuSi.

Properties
calculated total energy	-4.380	eV per atom
spin magnetization	0.000	μB/f.u.
ΔE_f (raw)	0.12	eV/f.u.

```
data_AlCuSi
_chemical_formula_sum 'Al4 Cu4 Si4'
_cell_length_a 11.460
_cell_length_b 2.668
_cell_length_c 8.033
_cell_angle_alpha 90.00
_cell_angle_beta 133.43
_cell_angle_gamma 90.00
_space_group_name_H-M_alt 'C 1 m 1'
_space_group_IT_number 8
_space_group_name_Hall 'C -2y'
loop_
_atom_site_label
_atom_site_type_symbol
_atom_site_fract_x
_atom_site_fract_y
_atom_site_fract_z
_atom_site_occupancy
Al1 Al 0.000 0.000 0.000 1
Al2 Al 0.142 0.500 0.463 1
Cu1 Cu 0.268 0.500 0.275 1
Cu2 Cu 0.396 0.000 0.644 1
Si1 Si 0.096 0.000 0.692 1
Si2 Si 0.339 0.000 0.095 1
```

---

Entry 2:
Density functional theory data (PBE) for a relaxed structure of AlCu2Si5.

Properties
calculated total energy	-4.601	eV per atom
spin magnetization	0.000	μB/f.u.
E above lowest polymorph	40.1	meV/atom
ΔE_f (raw)	2.24	eV/f.u.

```
data_AlCu2Si5
_chemical_formula_sum 'Al2 Cu4 Si10'
_cell_length_a 3.914
_cell_length_b 3.914
_cell_length_c 14.636
_cell_angle_alpha 90.00
_cell_angle_beta 90.00
_cell_angle_gamma 90.00
_space_group_name_H-M_alt 'I 4/m m m'
_space_group_IT_number 139
_space_group_name_Hall '-I 4 2'
loop_
_atom_site_label
_atom_site_type_symbol
_atom_site_fract_x
_atom_site_fract_y
_atom_site_fract_z
_atom_site_occupancy
Al1 Al 0.000 0.000 0.000 1
Cu1 Cu 0.000 0.000 0.253 1
Si1 Si 0.000 0.000 0.500 1
Si2 Si 0.000 0.500 0.132 1
```

---

Entry 3:
Density functional theory data (PBE) for a relaxed structure of AlCu8Si2.

Properties
calculated total energy	-4.290	eV per atom
spin magnetization	0.000	μB/f.u.
E above lowest polymorph	97.1	meV/atom
ΔE_f (raw)	0.17	eV/f.u.

```
data_AlCu8Si2
_chemical_formula_sum 'Al1 Cu8 Si2'
_cell_length_a 3.610
_cell_length_b 3.610
_cell_length_c 10.959
_cell_angle_alpha 90.00
_cell_angle_beta 90.00
_cell_angle_gamma 90.00
_space_group_name_H-M_alt 'P 4/m m m'
_space_group_IT_number 123
_space_group_name_Hall '-P 4 2'
loop_
_atom_site_label
_atom_site_type_symbol
_atom_site_fract_x
_atom_site_fract_y
_atom_site_fract_z
_atom_site_occupancy
Al1 Al 0.000 0.000 0.000 1
Cu1 Cu 0.000 0.500 0.167 1
Cu2 Cu 0.000 0.500 0.500 1
Cu3 Cu 0.500 0.500 0.335 1
Si1 Si 0.000 0.000 0.331 1
```

---

Entry 4:
Density functional theory data (PBE) for a relaxed structure of AlCuSi4.

Properties
calculated total energy	-4.666	eV per atom
spin magnetization	0.000	μB/f.u.
E above lowest polymorph	0.0	meV/atom
ΔE_f (raw)	1.53	eV/f.u.

```
data_AlCuSi4
_chemical_formula_sum 'Al4 Cu4 Si16'
_cell_length_a 3.629
_cell_length_b 13.834
_cell_length_c 7.410
_cell_angle_alpha 90.00
_cell_angle_beta 90.00
_cell_angle_gamma 90.00
_space_group_name_H-M_alt 'C m c m'
_space_group_IT_number 63
_space_group_name_Hall '-C 2c 2'
loop_
_atom_site_label
_atom_site_type_symbol
_atom_site_fract_x
_atom_site_fract_y
_atom_site_fract_z
_atom_site_occupancy
Al1 Al 0.000 0.158 0.250 1
Cu1 Cu 0.000 0.202 0.750 1
Si1 Si 0.000 0.025 0.750 1
Si2 Si 0.000 0.318 0.019 1
Si3 Si 0.000 0.500 0.000 1
```

---

Question: The highest ΔE_f (raw) belongs to which entry?
Answer: AlCu2Si5

---

Copy entry 2 word for word.
Density functional theory data (PBE) for a relaxed structure of AlCu2Si5.

Properties
calculated total energy	-4.601	eV per atom
spin magnetization	0.000	μB/f.u.
E above lowest polymorph	40.1	meV/atom
ΔE_f (raw)	2.24	eV/f.u.

```
data_AlCu2Si5
_chemical_formula_sum 'Al2 Cu4 Si10'
_cell_length_a 3.914
_cell_length_b 3.914
_cell_length_c 14.636
_cell_angle_alpha 90.00
_cell_angle_beta 90.00
_cell_angle_gamma 90.00
_space_group_name_H-M_alt 'I 4/m m m'
_space_group_IT_number 139
_space_group_name_Hall '-I 4 2'
loop_
_atom_site_label
_atom_site_type_symbol
_atom_site_fract_x
_atom_site_fract_y
_atom_site_fract_z
_atom_site_occupancy
Al1 Al 0.000 0.000 0.000 1
Cu1 Cu 0.000 0.000 0.253 1
Si1 Si 0.000 0.000 0.500 1
Si2 Si 0.000 0.500 0.132 1
```